Record 1
Below is an optimized crystal structure of NpSeN, with properties calculated at the GGA-PBE level.

D(E_F) ... 5.917 states/eV per cell
Symmetry ... P-6m2 (187)
Total magnetization ... 2.01 μB/cell
Uncorrected formation energy ... -280.0 kJ/mol of formula units

a = 4.2622 Å, b = 3.7522 Å, c = 3.7522 Å
α = 120.00°, β = 90.00°, γ = 90.00°
Closest atoms and distances in Å follow each position.
Fractional coordinates of all 3 atoms:
Se 0.6667 0.3333 0.6667  6 Np 3.04, 6 N 3.04
N 0.1668 0.0000 0.0000  3 Np 2.17
Np 0.1665 0.6667 0.3333  3 N 2.17

Record 2
Below is an optimized crystal structure of CoNi4Rh, with properties calculated at the GGA-PBE level.

D(E_F) ... 6.480 states/eV per cell
Uncorrected energy ... -6.120 eV per atom
Symmetry ... F-43m (216)
Total magnetization ... 5.18 μB/cell

a = 4.6448 Å, b = 4.6448 Å, c = 4.6448 Å
α = 60.00°, β = 60.00°, γ = 60.00°
Closest atoms and distances in Å follow each position.
Fractional coordinates of all 6 atoms:
Ni 0.8754 0.3749 0.3749  6 Ni 2.32-2.33
Ni 0.3749 0.3749 0.8754  6 Ni 2.32-2.33
Ni 0.3749 0.3749 0.3749  6 Ni 2.32-2.33
Rh 0.7500 0.7500 0.7500  12 Ni 2.72, 4 Co 2.84
Ni 0.3749 0.8754 0.3749  6 Ni 2.32-2.33
Co 0.0000 0.0000 0.0000  12 Ni 2.72, 4 Rh 2.84

Record 3
Below is an optimized crystal structure of BaPm3Pt2, with properties calculated at the GGA-PBE level.

D(E_F) ... 10.818 states/eV per cell
Uncorrected energy ... -5.334 eV per atom
Symmetry ... C2/m (12)
Total magnetization ... 0.00 μB/cell

a = 5.1570 Å, b = 9.2694 Å, c = 9.0793 Å
α = 116.03°, β = 90.00°, γ = 106.15°
Closest atoms and distances in Å follow each position.
Fractional coordinates of all 12 atoms:
Pm 0.4003 0.8006 0.3148  3 Pt 2.89-2.97
Pm 0.0503 0.1006 0.3638  3 Pt 2.91-3.06
Ba 0.8478 0.6955 0.9470  3 Pt 3.36-3.76
Ba 0.1522 0.3045 0.0530  3 Pt 3.36-3.76
Pt 0.4834 0.9667 0.8374  1 Pt 2.73, 4 Pm 2.87-3.06
Pm 0.6928 0.3856 0.3961  2 Pt 2.86-2.87
Pm 0.5997 0.1994 0.6852  3 Pt 2.89-2.97
Pt 0.5166 0.0333 0.1626  1 Pt 2.73, 4 Pm 2.87-3.06
Pt 0.1783 0.3566 0.7090  4 Pm 2.86-2.91
Pm 0.9497 0.8994 0.6362  3 Pt 2.91-3.06
Pm 0.3072 0.6144 0.6039  2 Pt 2.86-2.87
Pt 0.8217 0.6434 0.2910  4 Pm 2.86-2.91

Record 4
Below is an optimized crystal structure of Rb2Cd3S4, with properties calculated at the GGA-PBE level.

D(E_F) ... 0.000 states/eV per cell
Symmetry ... Pnma (62)
Total magnetization ... 0.00 μB/cell
Uncorrected formation energy ... -735.7 kJ/mol of formula units

a = 6.7103 Å, b = 10.7311 Å, c = 14.3954 Å
α = 90.00°, β = 90.00°, γ = 90.00°
Closest atoms and distances in Å follow each position.
Fractional coordinates of all 36 atoms:
Cd 0.8227 0.0937 0.2470  4 S 2.53-2.69
S 0.1077 0.0378 0.3593  3 Cd 2.53-2.67
S 0.3923 0.4622 0.8593  3 Cd 2.53-2.67
Cd 0.3227 0.5937 0.2530  4 S 2.53-2.69
Rb 0.5218 0.2500 0.0344  7 S 3.49-3.85
S 0.6077 0.9622 0.1407  3 Cd 2.53-2.67
Cd 0.2399 0.2500 0.7929  4 S 2.52-2.67
Cd 0.2601 0.2500 0.2929  4 S 2.52-2.67
Rb 0.9782 0.2500 0.5344  7 S 3.49-3.85
S 0.3831 0.7500 0.6533  3 Cd 2.52-2.60
S 0.1077 0.4622 0.3593  3 Cd 2.53-2.67
Cd 0.6773 0.0937 0.7470  4 S 2.53-2.69
S 0.8923 0.5378 0.6407  3 Cd 2.53-2.67
Cd 0.7399 0.7500 0.7071  4 S 2.52-2.67
Rb 0.5000 0.0000 0.5000  6 S 3.35-3.56
Rb 0.0000 0.0000 0.0000  6 S 3.35-3.56
S 0.9553 0.7500 0.8564  3 Cd 2.59-2.69
S 0.8831 0.2500 0.8467  3 Cd 2.52-2.60
S 0.1169 0.7500 0.1533  3 Cd 2.52-2.60
Cd 0.7601 0.7500 0.2071  4 S 2.52-2.67
S 0.6077 0.5378 0.1407  3 Cd 2.53-2.67
S 0.6169 0.2500 0.3467  3 Cd 2.52-2.60
Cd 0.8227 0.4063 0.2470  4 S 2.53-2.69
S 0.5447 0.7500 0.3564  3 Cd 2.59-2.69
Cd 0.1773 0.5937 0.7530  4 S 2.53-2.69
Rb 0.4782 0.7500 0.9656  7 S 3.49-3.85
S 0.3923 0.0378 0.8593  3 Cd 2.53-2.67
S 0.8923 0.9622 0.6407  3 Cd 2.53-2.67
Cd 0.1773 0.9063 0.7530  4 S 2.53-2.69
Cd 0.3227 0.9063 0.2530  4 S 2.53-2.69
Rb 0.5000 0.5000 0.5000  6 S 3.35-3.56
Rb 0.0000 0.5000 0.0000  6 S 3.35-3.56
Rb 0.0218 0.7500 0.4656  7 S 3.49-3.85
S 0.4553 0.2500 0.6436  3 Cd 2.59-2.69
Cd 0.6773 0.4063 0.7470  4 S 2.53-2.69
S 0.0447 0.2500 0.1436  3 Cd 2.59-2.69

Record 5
Below is an optimized crystal structure of Pm2PbF8, with properties calculated at the GGA-PBE level.

D(E_F) ... 0.000 states/eV per cell
Symmetry ... C2/m (12)
Total magnetization ... 0.00 μB/cell
Uncorrected formation energy ... -3858.0 kJ/mol of formula units

a = 3.8543 Å, b = 5.8103 Å, c = 7.8014 Å
α = 109.29°, β = 104.30°, γ = 90.00°
Closest atoms and distances in Å follow each position.
Fractional coordinates of all 11 atoms:
F 0.9552 0.2097 0.9105  1 Pm 2.32, 2 Pb 2.49
F 0.3970 0.5371 0.7940  2 Pm 2.39, 1 Pb 2.61, 1 F 2.62
Pm 0.8201 0.3134 0.6403  9 F 2.32-2.53
F 0.3172 0.0390 0.6344  3 Pm 2.37-2.49, 1 F 2.64
F 0.2139 0.3258 0.4278  3 Pm 2.32-2.53
Pm 0.1799 0.6866 0.3597  9 F 2.32-2.53
F 0.0448 0.7903 0.0895  1 Pm 2.32, 2 Pb 2.49
F 0.6828 0.9610 0.3656  3 Pm 2.37-2.49, 1 F 2.64
F 0.7861 0.6742 0.5722  3 Pm 2.32-2.53
Pb 0.5000 0.0000 0.0000  6 F 2.49-2.61
F 0.6030 0.4629 0.2060  2 Pm 2.39, 1 Pb 2.61, 1 F 2.62

Record 6
Below is an optimized crystal structure of Tl3RhI, with properties calculated at the GGA-PBE level.

D(E_F) ... 5.280 states/eV per cell
Symmetry ... R-3c (167)
Total magnetization ... 0.00 μB/cell
Uncorrected formation energy ... 42.0 kJ/mol of formula units

a = 6.6230 Å, b = 6.6230 Å, c = 6.6230 Å
α = 92.95°, β = 92.95°, γ = 92.95°
Closest atoms and distances in Å follow each position.
Fractional coordinates of all 10 atoms:
Tl 0.2500 0.9583 0.5417  1 Rh 2.80
Tl 0.5417 0.2500 0.9583  1 Rh 2.80
Tl 0.4583 0.7500 0.0417  1 Rh 2.80
Rh 0.7500 0.7500 0.7500  2 I 2.72, 3 Tl 2.80
I 0.5000 0.5000 0.5000  2 Rh 2.72
Tl 0.7500 0.0417 0.4583  1 Rh 2.80
Tl 0.9583 0.5417 0.2500  1 Rh 2.80
Tl 0.0417 0.4583 0.7500  1 Rh 2.80
Rh 0.2500 0.2500 0.2500  2 I 2.72, 3 Tl 2.80
I 0.0000 0.0000 0.0000  2 Rh 2.72

Record 7
Below is an optimized crystal structure of ZrSeN2F, with properties calculated at the GGA-PBE level.

D(E_F) ... 3.221 states/eV per cell
Symmetry ... P4/mmm (123)
Total magnetization ... 0.00 μB/cell
Uncorrected formation energy ... -88.0 kJ/mol of formula units

a = 4.3425 Å, b = 4.3425 Å, c = 4.0716 Å
α = 90.00°, β = 90.00°, γ = 90.00°
Closest atoms and distances in Å follow each position.
Fractional coordinates of all 5 atoms:
N 0.0000 0.5000 0.0000  2 Zr 2.17
Se 0.5000 0.5000 0.5000  8 N 2.98, 4 F 3.07
Zr 0.0000 0.0000 0.0000  2 F 2.04, 4 N 2.17
F 0.0000 0.0000 0.5000  2 Zr 2.04
N 0.5000 0.0000 0.0000  2 Zr 2.17

Record 8
Below is an optimized crystal structure of Tb4Tl3Hg, with properties calculated at the GGA-PBE level.

D(E_F) ... 6.626 states/eV per cell
Uncorrected energy ... -3.582 eV per atom
Symmetry ... Pmm2 (25)
Total magnetization ... 0.00 μB/cell

a = 4.3554 Å, b = 4.5310 Å, c = 11.6059 Å
α = 90.00°, β = 90.00°, γ = 90.00°
Closest atoms and distances in Å follow each position.
Fractional coordinates of all 8 atoms:
Tb 0.5000 0.5000 0.3587  1 Hg 3.09, 4 Tl 3.20
Tb 0.0000 0.0000 0.1356  3 Tl 3.17-3.41, 4 Hg 3.18
Tb 0.0000 0.5000 0.8657  5 Tl 3.18-3.19, 2 Hg 3.41
Tl 0.0000 0.0000 0.4087  2 Tl 3.10, 7 Tb 3.17-3.44
Tb 0.5000 0.0000 0.6380  7 Tl 3.15-3.44
Tl 0.5000 0.0000 0.9096  2 Hg 3.10, 7 Tb 3.15-3.41
Hg 0.5000 0.5000 0.0924  7 Tb 3.09-3.41, 2 Tl 3.10
Tl 0.0000 0.5000 0.5912  2 Tl 3.10, 7 Tb 3.19-3.47

Record 9
Below is an optimized crystal structure of Nd2Al3CuAu4, with properties calculated at the GGA-PBE level.

D(E_F) ... 6.020 states/eV per cell
Uncorrected energy ... -4.431 eV per atom
Symmetry ... P-4m2 (115)
Total magnetization ... 0.00 μB/cell

a = 4.4563 Å, b = 4.4563 Å, c = 10.3048 Å
α = 90.00°, β = 90.00°, γ = 90.00°
Closest atoms and distances in Å follow each position.
Fractional coordinates of all 10 atoms:
Au 0.5000 0.0000 0.6287  3 Al 2.49-2.59, 2 Cu 2.59
Au 0.0000 0.0000 0.0000  4 Al 2.60
Nd 0.0000 0.5000 0.7433  6 Al 3.35-3.41, 2 Cu 3.35, 8 Au 3.37-3.46
Au 0.0000 0.5000 0.3713  3 Al 2.49-2.59, 2 Cu 2.59
Cu 0.5000 0.5000 0.5000  4 Au 2.59
Au 0.5000 0.5000 0.0000  4 Al 2.60
Nd 0.5000 0.0000 0.2567  2 Cu 3.35, 6 Al 3.35-3.41, 8 Au 3.37-3.46
Al 0.0000 0.0000 0.5000  4 Au 2.59
Al 0.0000 0.5000 0.1299  5 Au 2.49-2.60
Al 0.5000 0.0000 0.8701  5 Au 2.49-2.60

Record 10
Below is an optimized crystal structure of Li3GaB, with properties calculated at the GGA-PBE level.

D(E_F) ... 3.673 states/eV per cell
Uncorrected energy ... -2.062 eV per atom
Symmetry ... Pm-3m (221)
Total magnetization ... 0.42 μB/cell

a = 4.7256 Å, b = 4.7256 Å, c = 4.7256 Å
α = 90.00°, β = 90.00°, γ = 90.00°
Closest atoms and distances in Å follow each position.
Fractional coordinates of all 5 atoms:
Li 0.5000 0.0000 0.0000  2 Ga 2.36
Li 0.0000 0.5000 0.0000  2 Ga 2.36
Li 0.0000 0.0000 0.5000  2 Ga 2.36
Ga 0.0000 0.0000 0.0000  6 Li 2.36
B 0.5000 0.5000 0.5000  12 Li 3.34

Record 11
Below is an optimized crystal structure of PmHfS3, with properties calculated at the GGA-PBE level.

D(E_F) ... 10.259 states/eV per cell
Symmetry ... Pnma (62)
Total magnetization ... 0.00 μB/cell
Uncorrected formation energy ... -846.8 kJ/mol of formula units

a = 3.7367 Å, b = 8.3255 Å, c = 13.3813 Å
α = 90.00°, β = 90.00°, γ = 90.00°
Closest atoms and distances in Å follow each position.
Fractional coordinates of all 20 atoms:
S 0.7500 0.9797 0.8823  3 Hf 2.50-2.57
S 0.7500 0.1984 0.2843  1 Hf 2.53
Pm 0.2500 0.4323 0.1737  8 S 2.89-3.15
S 0.2500 0.0203 0.1177  3 Hf 2.50-2.57
S 0.2500 0.6553 0.9832  2 Hf 2.57
Pm 0.7500 0.0677 0.6737  8 S 2.89-3.15
Pm 0.7500 0.5677 0.8263  8 S 2.89-3.15
Pm 0.2500 0.9323 0.3263  8 S 2.89-3.15
Hf 0.2500 0.6598 0.5480  6 S 2.50-2.57
S 0.7500 0.4797 0.6177  3 Hf 2.50-2.57
Hf 0.7500 0.3402 0.4520  6 S 2.50-2.57
S 0.2500 0.3016 0.7843  1 Hf 2.53
S 0.2500 0.5203 0.3823  3 Hf 2.50-2.57
Hf 0.2500 0.1598 0.9520  6 S 2.50-2.57
S 0.2500 0.8016 0.7157  1 Hf 2.53
S 0.7500 0.8447 0.4832  2 Hf 2.57
S 0.7500 0.3447 0.0168  2 Hf 2.57
S 0.2500 0.1553 0.5168  2 Hf 2.57
S 0.7500 0.6984 0.2157  1 Hf 2.53
Hf 0.7500 0.8402 0.0480  6 S 2.50-2.57

Record 12
Below is an optimized crystal structure of Tb12Tl6Fe, with properties calculated at the GGA-PBE level.

D(E_F) ... 17.898 states/eV per cell
Uncorrected energy ... -4.239 eV per atom
Symmetry ... R-3 (148)
Total magnetization ... 0.00 μB/cell

a = 8.3292 Å, b = 8.3292 Å, c = 8.3292 Å
α = 94.35°, β = 94.35°, γ = 94.35°
Closest atoms and distances in Å follow each position.
Fractional coordinates of all 19 atoms:
Tb 0.9195 0.6939 0.0241  1 Fe 2.61
Tb 0.3061 0.9759 0.0805  1 Fe 2.61
Tl 0.8628 0.2684 0.6475  8 Tb 3.13-3.46
Tb 0.5420 0.2041 0.4225  4 Tl 3.13-3.24
Tl 0.2684 0.6475 0.8628  8 Tb 3.13-3.46
Tb 0.6939 0.0241 0.9195  1 Fe 2.61
Fe 0.0000 0.0000 0.0000  6 Tb 2.61
Tb 0.0805 0.3061 0.9759  1 Fe 2.61
Tl 0.6475 0.8628 0.2684  8 Tb 3.13-3.46
Tb 0.4580 0.7959 0.5775  4 Tl 3.13-3.24
Tb 0.9759 0.0805 0.3061  1 Fe 2.61
Tl 0.3525 0.1372 0.7316  8 Tb 3.13-3.46
Tl 0.1372 0.7316 0.3525  8 Tb 3.13-3.46
Tl 0.7316 0.3525 0.1372  8 Tb 3.13-3.46
Tb 0.7959 0.5775 0.4580  4 Tl 3.13-3.24
Tb 0.5775 0.4580 0.7959  4 Tl 3.13-3.24
Tb 0.2041 0.4225 0.5420  4 Tl 3.13-3.24
Tb 0.4225 0.5420 0.2041  4 Tl 3.13-3.24
Tb 0.0241 0.9195 0.6939  1 Fe 2.61